Compound: Fe2PbSe4O12
Source: Alexandria via LeMat-Bulk
Functional: GGA+U
Structure: relaxed

Computed properties:
Energy (eV/cell): -108.4
Crystal system: triclinic
Symmetry: P1 (1)

abc: 5.300 6.964 7.787
angles: 93.12 91.22 95.21
Fractional positions:
Fe  0.000  0.000  0.000
Fe  0.494  0.500  0.495
Pb  0.921  0.010  0.517
Se  0.007  0.554  0.757
Se  0.481  0.798  0.170
Se  0.510  0.199  0.823
Se  0.989  0.446  0.238
O  0.003  0.284  0.064
O  0.154  0.346  0.405
O  0.212  0.077  0.788
O  0.305  0.991  0.152
O  0.322  0.593  0.706
O  0.426  0.751  0.385
O  0.582  0.252  0.611
O  0.675  0.398  0.292
O  0.699  0.010  0.832
O  0.783  0.920  0.202
O  0.840  0.655  0.590
O  0.993  0.717  0.929